! Ta2TcI | Alexandria | GGA-PBE | optimized geometry; values from VASP
&SYSTEM
  ibrav = 0, nat = 8, ntyp = 3
/
ATOMIC_SPECIES
I 126.90 I.upf
Tc 98.00 Tc.upf
Ta 180.95 Ta.upf
ATOMIC_POSITIONS crystal
I 0.0000 0.0000 0.0000
I 0.7500 0.2500 0.5000
Tc 0.5000 0.5000 0.0000
Tc 0.2500 0.7500 0.5000
Ta 0.6211 0.1250 0.2500
Ta 0.1289 0.6250 0.2500
Ta 0.3750 0.3789 0.7500
Ta 0.8750 0.8711 0.7500
CELL_PARAMETERS angstrom
-1.7413 0.2145 -3.5875
-0.5273 -3.9585 0.0192
-9.9475 -0.6769 2.5651
! Mass density (g cm⁻³): 12.3
! Raw formation energy (eV per formula unit): 4.24
! DFT total energy (eV/f.u.): -31.383

! DySi3Ni3 | Alexandria | GGA-PBE | optimized geometry; values from VASP
&SYSTEM
  ibrav = 0, nat = 14, ntyp = 3
/
ATOMIC_SPECIES
Ni 58.69 Ni.upf
Si 28.09 Si.upf
Dy 162.50 Dy.upf
ATOMIC_POSITIONS crystal
Ni 0.2500 0.0000 0.5000
Ni 0.0000 0.5000 0.2500
Ni 0.5000 0.7500 0.0000
Ni 0.7500 0.0000 0.5000
Ni 0.0000 0.5000 0.7500
Ni 0.5000 0.2500 0.0000
Si 0.0000 0.2500 0.5000
Si 0.0000 0.7500 0.5000
Si 0.5000 0.0000 0.7500
Si 0.7500 0.5000 0.0000
Si 0.5000 0.0000 0.2500
Si 0.2500 0.5000 0.0000
Dy 0.5000 0.5000 0.5000
Dy 0.0000 0.0000 0.0000
CELL_PARAMETERS angstrom
6.1965 0.0000 0.0000
0.0000 6.1965 0.0000
0.0000 0.0000 6.1965
! Mass density (g cm⁻³): 5.9
! Raw formation energy (eV per formula unit): -1.96
! DFT total energy (eV/f.u.): -40.175

! La6PmDy5 | Alexandria | GGA-PBE | optimized geometry; values from VASP
&SYSTEM
  ibrav = 0, nat = 12, ntyp = 3
/
ATOMIC_SPECIES
Pm 145.00 Pm.upf
Dy 162.50 Dy.upf
La 138.91 La.upf
ATOMIC_POSITIONS crystal
Pm 0.0000 0.0000 0.0000
Dy 0.6667 0.1671 0.3341
Dy 0.3324 0.3335 0.6670
Dy 0.0000 0.5000 0.0000
Dy 0.6676 0.6665 0.3330
Dy 0.3333 0.8329 0.6659
La 0.8322 0.5824 0.6655
La 0.8321 0.0830 0.6655
La 0.5001 0.7494 0.0000
La 0.4999 0.2506 0.0000
La 0.1679 0.9170 0.3345
La 0.1678 0.4176 0.3345
CELL_PARAMETERS angstrom
-3.8287 4.3241 -2.3730
1.1002 -2.7442 -6.7905
-7.2805 -4.3851 4.6342
! ΔH_f (0 K) (meV per atom): 22
! Mass density (g cm⁻³): 7.2
! DFT total energy (eV/f.u.): -57.057